# NdTlZn

A relaxed structure of NdTlZn (PBE-GGA, OQMD via LeMat-Bulk).

Cell: 4.758 4.758 7.675 Å, 90.00 90.00 120.00°
Sites, in units of the cell vectors:
Nd: 0.000 0.000 0.000
Nd: 0.000 0.000 0.500
Tl: 0.333 0.667 0.250
Tl: 0.667 0.333 0.750
Zn: 0.333 0.667 0.750
Zn: 0.667 0.333 0.250

* spin magnetization: 0.0 μB per cell
* uncorrected energy: -3.137 eV/atom